1.
10
Lattice="4.634 0.000 0.000 0.000 8.150 -2.876 0.000 -4.710 11.441" Properties=species:S:1:pos:R:3 comment="AgPbIBr2 (GGA-PBE, relaxed)" energy_ry_per_atom=-0.21160 e_form_raw_ev_per_atom=-0.588 pbc="T T T"
Ag 1.158 2.791 4.348
Ag 3.475 0.648 4.217
Pb 1.158 0.971 8.783
Pb 3.475 2.469 -0.218
I 1.158 4.013 6.935
I 3.475 -0.574 1.630
Br 3.475 3.262 3.004
Br 1.158 0.177 5.561
Br 3.475 -1.016 8.453
Br 1.158 4.456 0.112

***

2.
11
Lattice="-4.634 2.030 5.405 6.022 -3.840 1.535 1.550 7.473 -1.477" Properties=species:S:1:pos:R:3 comment="Rb2Li2CdCl6 (GGA-PBE, relaxed)" energy_ry_per_atom=-0.23881 e_form_raw_ev_per_atom=-1.635 pbc="T T T"
Rb -0.523 1.109 4.205
Rb 3.462 4.553 1.258
Li 2.001 3.947 5.303
Li 0.938 1.716 0.159
Cd -1.542 4.751 1.964
Cl 0.362 4.249 3.784
Cl 4.865 -1.405 2.215
Cl 0.343 6.073 0.601
Cl -1.926 7.067 3.247
Cl 2.596 -0.411 4.862
Cl 2.577 1.413 1.678

***

3.
9
Lattice="-2.847 -0.730 4.453 0.056 -4.736 2.456 4.159 1.561 2.915" Properties=species:S:1:pos:R:3 comment="LiAcZnF6 (GGA-PBE, relaxed)" energy_ry_per_atom=-0.39177 e_form_raw_ev_per_atom=-3.272 pbc="T T T"
Li 0.219 -2.863 6.063
Ac 1.313 0.831 7.368
Zn 1.150 -1.041 3.760
F 1.183 -1.284 1.715
F 1.959 0.853 3.719
F 1.205 -1.061 5.820
F 3.026 -1.886 3.664
F 0.167 -2.836 3.996
F -0.642 -0.032 3.649